(1)
Material: PrBiO4
Method: DFT, PBE
State: optimized geometry

**Total magnetization**: 0.0 μB per formula unit
**E_tot**: -160.2 eV/cell
**Formation energy without anion corrections**: -1.925 eV per atom
**Volume**: 14.9 Å³/atom
**Symmetry**: No. 52
**Density**: 7675 kg/m3

Lattice parameters (Å, degrees): 5.6760 5.7612 10.9538 90.00 90.00 90.00
Fractional coordinates of all 24 atoms:
Pr: 0.1988 0.7500 0.7500
Pr: 0.3012 0.7500 0.2500
Pr: 0.6988 0.2500 0.7500
Pr: 0.8012 0.2500 0.2500
Bi: 0.2500 0.2049 0.0000
Bi: 0.2500 0.2951 0.5000
Bi: 0.7500 0.7049 0.5000
Bi: 0.7500 0.7951 0.0000
O: 0.9881 0.4492 0.6173
O: 0.9881 0.0508 0.8827
O: 0.1131 0.4302 0.1289
O: 0.1131 0.0698 0.3711
O: 0.3869 0.0698 0.6289
O: 0.3869 0.4302 0.8711
O: 0.5119 0.0508 0.1173
O: 0.5119 0.4492 0.3827
O: 0.4881 0.5508 0.6173
O: 0.4881 0.9492 0.8827
O: 0.6131 0.5698 0.1289
O: 0.6131 0.9302 0.3711
O: 0.8869 0.9302 0.6289
O: 0.8869 0.5698 0.8711
O: 0.0119 0.9492 0.1173
O: 0.0119 0.5508 0.3827

---

(2)
Material: Pr2BiO4
Method: DFT, PBE
State: optimized geometry

**Total magnetization**: 0.0 μB per formula unit
**E_tot**: -99.6 eV/cell
**Formation energy without anion corrections**: -2.360 eV per atom
**Volume**: 17.1 Å³/atom
**Symmetry**: No. 65
**Density**: 7690 kg/m3

Lattice parameters (Å, degrees): 3.4920 6.2437 10.9893 90.00 90.00 90.00
Fractional coordinates of all 14 atoms:
Pr: 0.5000 0.0000 0.8265
Pr: 0.5000 0.0000 0.1735
Pr: 0.5000 0.5000 0.6735
Pr: 0.5000 0.5000 0.3265
Bi: 0.0000 0.0000 0.5000
Bi: 0.0000 0.5000 0.0000
O: 0.0000 0.7500 0.7500
O: 0.0000 0.2500 0.2500
O: 0.0000 0.2501 0.7500
O: 0.0000 0.7499 0.2500
O: 0.5000 0.7280 0.5000
O: 0.5000 0.2720 0.5000
O: 0.5000 0.7720 0.0000
O: 0.5000 0.2280 0.0000

---

(3)
Material: Pr2BiO
Method: DFT, PBE
State: optimized geometry

**Total magnetization**: 0.0 μB per formula unit
**E_tot**: -23.1 eV/cell
**Offset from the most stable computed form**: 698.6 meV/atom
**Formation energy without anion corrections**: -1.176 eV per atom
**Volume**: 22.8 Å³/atom
**Symmetry**: No. 123
**Density**: 9221 kg/m3

Lattice parameters (Å, degrees): 3.3616 3.3616 8.0760 90.00 90.00 90.00
Fractional coordinates of all 4 atoms:
Pr: 0.0000 0.0000 0.8023
Pr: 0.0000 0.0000 0.1977
Bi: 0.5000 0.5000 0.5000
O: 0.5000 0.5000 0.0000